Entry 1:
The following is a DFT calculation (PBE-GGA) of crystalline CdBiAu2 at its relaxed geometry.

Values from the calculation:
DFT total energy = -33.82 eV for the cell shown
energy of formation from the pure elements = 0.08 eV/f.u.

a b c (Å): 3.7079 3.7079 24.1345
angles (deg): 90.00 90.00 120.00
Space group R3m (No. 160, hexagonal axes)
Inequivalent atoms, fractional coordinates:
Cd  0.0000  0.0000  0.0000 x3
Bi  0.0000  0.0000  0.1675 x3
Au  0.0000  0.0000  0.4122 x3
Au  0.0000  0.0000  0.5890 x3

=====

Entry 2:
The following is a DFT calculation (PBE-GGA) of crystalline Be2NiHg at its relaxed geometry.

Values from the calculation:
DFT total energy = -35.34 eV for the cell shown
energy of formation from the pure elements = 1.75 eV/f.u.

a b c (Å): 2.7827 2.7827 23.5778
angles (deg): 90.00 90.00 120.00
Space group R3m (No. 160, hexagonal axes)
Inequivalent atoms, fractional coordinates:
Be  0.0000  0.0000  0.0000 x3
Be  0.0000  0.0000  0.2626 x3
Ni  0.0000  0.0000  0.7324 x3
Hg  0.0000  0.0000  0.4986 x3

=====

Entry 3:
The following is a DFT calculation (PBE-GGA) of crystalline TaCu4Mo at its relaxed geometry.

Values from the calculation:
DFT total energy = -152.57 eV for the cell shown
energy of formation from the pure elements = 0.92 eV/f.u.

a b c (Å): 6.852 6.852 6.852
angles (deg): 90.00 90.00 90.00
Space group F-43m (No. 216)
Inequivalent atoms, fractional coordinates:
Ta  0.000  0.000  0.000 x4
Cu  0.125  0.125  0.625 x16
Mo  0.250  0.250  0.250 x4

=====

Entry 4:
The following is a DFT calculation (PBE-GGA) of crystalline LiPdN3 at its relaxed geometry.

Values from the calculation:
DFT total energy = -22.92 eV for the cell shown

a b c (Å): 3.933 3.933 3.933
angles (deg): 90.00 90.00 90.00
Space group Pm-3m (No. 221)
Inequivalent atoms, fractional coordinates:
Li  0.000  0.000  0.000 x1
Pd  0.500  0.500  0.500 x1
N  0.000  0.500  0.500 x3

=====

Entry 5:
The following is a DFT calculation (PBE-GGA) of crystalline Ac2BiAuO5 at its relaxed geometry.

Values from the calculation:
DFT total energy = -111.82 eV for the cell shown

a b c (Å): 7.444 7.444 5.840
angles (deg): 90.00 90.00 90.00
Space group P4/mbm (No. 127)
Inequivalent atoms, fractional coordinates:
Ac  0.179  0.321  0.000 x4
Bi  0.000  0.000  0.500 x2
Au  0.000  0.500  0.500 x2
O  0.000  0.000  0.000 x2
O  0.127  0.627  0.240 x8

=====

Entry 6:
The following is a DFT calculation (PBE-GGA) of crystalline Ho6IrPd5 at its relaxed geometry.

Values from the calculation:
DFT total energy = -146.62 eV for the cell shown
energy of formation from the pure elements = -11.02 eV/f.u.

a b c (Å): 4.952 14.828 6.876
angles (deg): 90.00 90.00 90.00
Space group Cmmm (No. 65)
Inequivalent atoms, fractional coordinates:
Ho  0.000  0.000  0.244 x4
Ho  0.000  0.337  0.247 x8
Ir  0.000  0.500  0.000 x2
Pd  0.000  0.166  0.500 x4
Pd  0.000  0.170  0.000 x4
Pd  0.000  0.500  0.500 x2

=====

Entry 7:
The following is a DFT calculation (PBE-GGA) of crystalline Bi2PbN at its relaxed geometry.

Values from the calculation:
DFT total energy = -60.90 eV for the cell shown

a b c (Å): 7.376 7.376 7.376
angles (deg): 90.00 90.00 90.00
Space group Fm-3m (No. 225)
Inequivalent atoms, fractional coordinates:
Bi  0.250  0.250  0.250 x8
Pb  0.000  0.000  0.000 x4
N  0.000  0.000  0.500 x4

=====

Entry 8:
The following is a DFT calculation (PBE-GGA) of crystalline Pr3Nd8Mg2 at its relaxed geometry.

Values from the calculation:
DFT total energy = -55.50 eV for the cell shown
energy of formation from the pure elements = 0.17 eV/f.u.

a b c (Å): 6.850 8.743 8.884
angles (deg): 64.12 67.36 77.53
Space group P-1 (No. 2)
Inequivalent atoms, fractional coordinates:
Pr  0.000  0.000  0.000 x1
Pr  0.068  0.190  0.502 x2
Nd  0.262  0.412  0.647 x2
Nd  0.322  0.612  0.155 x2
Nd  0.351  0.784  0.677 x2
Nd  0.412  0.984  0.209 x2
Mg  0.136  0.344  0.062 x2

=====

Entry 9:
The following is a DFT calculation (PBE-GGA) of crystalline InPt2C at its relaxed geometry.

Values from the calculation:
DFT total energy = -91.65 eV for the cell shown
energy of formation from the pure elements = 1.13 eV/f.u.

a b c (Å): 5.623 5.623 9.461
angles (deg): 90.00 90.00 90.00
Space group I-42d (No. 122)
Inequivalent atoms, fractional coordinates:
In  0.000  0.000  0.000 x4
Pt  0.142  0.250  0.625 x8
C  0.000  0.000  0.500 x4

=====

Entry 10:
The following is a DFT calculation (PBE-GGA) of crystalline LiSc2Pa at its relaxed geometry.

Values from the calculation:
DFT total energy = -23.60 eV for the cell shown
energy of formation from the pure elements = 0.48 eV/f.u.

a b c (Å): 3.210 3.210 9.085
angles (deg): 90.00 90.00 90.00
Space group P4/mmm (No. 123)
Inequivalent atoms, fractional coordinates:
Li  0.000  0.000  0.000 x1
Sc  0.500  0.500  0.249 x2
Pa  0.000  0.000  0.500 x1

=====

Entry 11:
The following is a DFT calculation (PBE-GGA) of crystalline CdIn2HgI at its relaxed geometry.

Values from the calculation:
DFT total energy = -8.23 eV for the cell shown

a b c (Å): 5.676 5.676 5.524
angles (deg): 90.00 90.00 90.00
Space group P4/mmm (No. 123)
Inequivalent atoms, fractional coordinates:
Cd  0.000  0.000  0.000 x1
In  0.000  0.500  0.500 x2
Hg  0.000  0.000  0.500 x1
I  0.500  0.500  0.000 x1

=====

Entry 12:
The following is a DFT calculation (PBE-GGA) of crystalline MnZn2Hg at its relaxed geometry.

Values from the calculation:
DFT total energy = -22.40 eV for the cell shown
energy of formation from the pure elements = 0.82 eV/f.u.

a b c (Å): 4.103 4.103 7.872
angles (deg): 90.00 90.00 90.00
Space group I4/mmm (No. 139)
Inequivalent atoms, fractional coordinates:
Mn  0.000  0.000  0.000 x2
Zn  0.000  0.500  0.250 x4
Hg  0.000  0.000  0.500 x2